# 1
{"formula": "Pr6Nd12Tm", "functional": "PBE", "state": "relaxed", "sg": "R-3m, No. 166", "delta_e_f_ev_per_fu": 5.52, "polymorph_energy_ev_per_fu": 3.16, "lattice": [[8.328, 4.808, 2.871], [-8.328, 4.808, 2.871], [0.000, -9.617, 2.871]], "species": ["Pr", "Pr", "Pr", "Pr", "Pr", "Pr", "Nd", "Nd", "Nd", "Nd", "Nd", "Nd", "Nd", "Nd", "Nd", "Nd", "Nd", "Nd", "Tm"], "frac_coords": [[0.022, 0.769, 0.769], [0.231, 0.231, 0.978], [0.231, 0.978, 0.231], [0.769, 0.022, 0.769], [0.769, 0.769, 0.022], [0.978, 0.231, 0.231], [0.000, 0.379, 0.621], [0.000, 0.621, 0.379], [0.233, 0.233, 0.592], [0.233, 0.592, 0.233], [0.379, 0.000, 0.621], [0.379, 0.621, 0.000], [0.408, 0.767, 0.767], [0.592, 0.233, 0.233], [0.621, 0.000, 0.379], [0.621, 0.379, 0.000], [0.767, 0.408, 0.767], [0.767, 0.767, 0.408], [0.500, 0.500, 0.500]]}

***

# 2
{"formula": "PrNd7Tm12", "functional": "PBE", "state": "relaxed", "sg": "Im-3m, No. 229", "delta_e_f_ev_per_fu": 12.90, "polymorph_energy_ev_per_fu": 8.31, "lattice": [[-5.615, 5.615, 5.615], [5.615, -5.615, 5.615], [5.615, 5.615, -5.615]], "species": ["Pr", "Nd", "Nd", "Nd", "Nd", "Nd", "Nd", "Nd", "Tm", "Tm", "Tm", "Tm", "Tm", "Tm", "Tm", "Tm", "Tm", "Tm", "Tm", "Tm"], "frac_coords": [[0.000, 0.000, 0.000], [0.000, 0.000, 0.500], [0.000, 0.500, 0.000], [0.000, 0.500, 0.500], [0.500, 0.000, 0.000], [0.500, 0.000, 0.500], [0.500, 0.500, 0.000], [0.500, 0.500, 0.500], [0.000, 0.251, 0.749], [0.000, 0.749, 0.251], [0.251, 0.000, 0.749], [0.251, 0.251, 0.502], [0.251, 0.502, 0.251], [0.251, 0.749, 0.000], [0.498, 0.749, 0.749], [0.502, 0.251, 0.251], [0.749, 0.000, 0.251], [0.749, 0.251, 0.000], [0.749, 0.498, 0.749], [0.749, 0.749, 0.498]]}

***

# 3
{"formula": "Pr5NdTm4", "functional": "PBE", "state": "relaxed", "sg": "P-1, No. 2", "delta_e_f_ev_per_fu": 0.60, "polymorph_energy_ev_per_fu": 0.00, "lattice": [[3.609, 0.000, 0.000], [0.614, 9.021, 0.000], [1.415, 3.854, 10.374]], "species": ["Pr", "Pr", "Pr", "Pr", "Pr", "Nd", "Tm", "Tm", "Tm", "Tm"], "frac_coords": [[0.000, 0.000, 0.000], [0.319, 0.384, 0.923], [0.498, 0.214, 0.677], [0.502, 0.786, 0.323], [0.681, 0.616, 0.077], [0.000, 0.000, 0.500], [0.072, 0.417, 0.377], [0.347, 0.795, 0.781], [0.653, 0.205, 0.219], [0.928, 0.583, 0.623]]}

***

# 4
{"formula": "Pr3NdTm6", "functional": "PBE", "state": "relaxed", "sg": "P2_1/m, No. 11", "delta_e_f_ev_per_fu": 0.69, "polymorph_energy_ev_per_fu": 0.00, "lattice": [[13.044, 0.000, 0.000], [0.000, 3.535, 0.000], [-2.551, 0.000, 14.106]], "species": ["Pr", "Pr", "Pr", "Pr", "Pr", "Pr", "Nd", "Nd", "Tm", "Tm", "Tm", "Tm", "Tm", "Tm", "Tm", "Tm", "Tm", "Tm", "Tm", "Tm"], "frac_coords": [[0.076, 0.250, 0.101], [0.371, 0.750, 0.496], [0.421, 0.250, 0.901], [0.579, 0.750, 0.099], [0.629, 0.250, 0.504], [0.924, 0.750, 0.899], [0.041, 0.250, 0.720], [0.959, 0.750, 0.280], [0.120, 0.250, 0.487], [0.195, 0.750, 0.926], [0.222, 0.750, 0.287], [0.272, 0.750, 0.700], [0.345, 0.250, 0.123], [0.499, 0.750, 0.309], [0.501, 0.250, 0.691], [0.655, 0.750, 0.877], [0.728, 0.250, 0.300], [0.778, 0.250, 0.713], [0.805, 0.250, 0.074], [0.880, 0.750, 0.513]]}

***

# 5
{"formula": "Pr2Nd3Tm7", "functional": "PBE", "state": "relaxed", "sg": "P2/m, No. 10", "delta_e_f_ev_per_fu": 1.14, "polymorph_energy_ev_per_fu": 0.00, "lattice": [[6.354, 0.000, 0.000], [0.000, 3.533, 0.000], [-1.915, 0.000, 17.427]], "species": ["Pr", "Pr", "Nd", "Nd", "Nd", "Tm", "Tm", "Tm", "Tm", "Tm", "Tm", "Tm"], "frac_coords": [[0.053, 0.000, 0.175], [0.947, 0.000, 0.825], [0.456, 0.500, 0.841], [0.500, 0.000, 0.500], [0.544, 0.500, 0.159], [0.000, 0.500, 0.500], [0.225, 0.000, 0.664], [0.254, 0.000, 0.001], [0.273, 0.500, 0.338], [0.727, 0.500, 0.662], [0.746, 0.000, 0.999], [0.775, 0.000, 0.336]]}

***

# 6
{"formula": "Pr9Nd11Tm4", "functional": "PBE", "state": "relaxed", "sg": "Cmmm, No. 65", "delta_e_f_ev_per_fu": 1.25, "lattice": [[8.312, -13.697, 0.000], [8.312, 13.697, 0.000], [0.000, 0.000, 3.701]], "species": ["Pr", "Pr", "Pr", "Pr", "Pr", "Pr", "Pr", "Pr", "Pr", "Nd", "Nd", "Nd", "Nd", "Nd", "Nd", "Nd", "Nd", "Nd", "Nd", "Nd", "Tm", "Tm", "Tm", "Tm"], "frac_coords": [[0.000, 0.000, 0.000], [0.116, 0.671, 0.000], [0.294, 0.463, 0.000], [0.329, 0.884, 0.000], [0.463, 0.294, 0.000], [0.537, 0.706, 0.000], [0.671, 0.116, 0.000], [0.706, 0.537, 0.000], [0.884, 0.329, 0.000], [0.100, 0.464, 0.500], [0.124, 0.876, 0.500], [0.234, 0.234, 0.500], [0.322, 0.678, 0.500], [0.464, 0.100, 0.500], [0.500, 0.500, 0.500], [0.536, 0.900, 0.500], [0.678, 0.322, 0.500], [0.766, 0.766, 0.500], [0.876, 0.124, 0.500], [0.900, 0.536, 0.500], [0.071, 0.265, 0.000], [0.265, 0.071, 0.000], [0.735, 0.929, 0.000], [0.929, 0.735, 0.000]]}

***

The following DOS at the Fermi energy values (in states/eV/atom) correspond, in order, to the records above: 1.6515 1.4953 1.3689 1.4275 1.4620 1.3280.
The following mass density values (in g/cm3) correspond, in order, to the records above: 6.6 7.5 7.5 8.1 8.1 7.0.